Tl4WF7: relaxed, PBE+U.

The structure in POSCAR format:
```
Tl4WF7
1.0
6.673 -2.140 0.000
6.673 2.140 0.000
-5.336 0.000 9.645
Tl W F
4 1 7
Direct
0.105 0.105 0.409
0.310 0.310 0.197
0.690 0.690 0.803
0.895 0.895 0.591
0.500 0.500 0.000
0.000 0.000 0.000
0.294 0.294 0.423
0.321 0.321 0.932
0.469 0.469 0.793
0.531 0.531 0.207
0.679 0.679 0.068
0.706 0.706 0.577
```

Summary:
Volume, Å³ per cell: 275
Space group: C2/m
Spin magnetization, μB per atom: 0.25
Total DFT energy (no corrections), eV/atom: -4.540